No. 1
Material: AgGePd
Method: DFT, PBE
State: optimized geometry

POSCAR file:
```
AgGePd
1.0
2.980 -0.013 0.177
1.478 2.588 0.177
2.121 1.225 13.366
Ag Pd Ge
2 2 2
Direct
0.274 0.274 0.590 Ag
0.726 0.726 0.410 Ag
0.725 0.725 0.912 Pd
0.275 0.275 0.088 Pd
0.516 0.516 0.231 Ge
0.484 0.484 0.769 Ge
```

total magnetic moment: 0.00 μB per cell
DFT total energy: -4.308 eV/atom
formation enthalpy at 0 K: -8.5 kJ per mole of atoms
N(E_F): 0.275 states/eV per atom
polymorph energy (0 for the lowest one): 93 meV/atom

No. 2
Material: AgGePd2
Method: DFT, PBE
State: optimized geometry

POSCAR file:
```
AgGePd2
1.0
4.201 0.000 0.000
2.100 3.638 0.000
2.100 1.213 4.607
Ag Ge Pd
1 1 2
Direct
0.491 0.491 0.527 Ag
0.680 0.680 0.961 Ge
0.275 0.275 0.174 Pd
0.054 0.054 0.838 Pd
```

total magnetic moment: 0.00 μB per cell
DFT total energy: -4.643 eV/atom
formation enthalpy at 0 K: -17.3 kJ per mole of atoms
N(E_F): 0.686 states/eV per atom

No. 3
Material: AgGe3Pd
Method: DFT, PBE
State: optimized geometry

POSCAR file:
```
AgGe3Pd
1.0
-4.177 1.959 1.533
-2.487 -3.358 -2.484
0.058 -2.919 3.887
Ge Ag Pd
3 1 1
Direct
0.500 0.000 0.000 Ge
0.000 0.500 0.000 Ge
0.000 0.000 0.500 Ge
0.500 0.500 0.500 Ag
0.000 0.000 0.000 Pd
```

total magnetic moment: 0.00 μB per cell
DFT total energy: -3.970 eV/atom
formation enthalpy at 0 K: 39.5 kJ per mole of atoms
N(E_F): 0.569 states/eV per atom
polymorph energy (0 for the lowest one): 0 meV/atom

No. 4
Material: Pm3AgGe6Pd2
Method: DFT, PBE
State: optimized geometry

POSCAR file:
```
Pm3AgGe6Pd2
1.0
-1.647 -5.341 2.153
5.608 0.854 -1.922
2.259 2.388 7.652
Ge Ag Pm Pd
6 1 3 2
Direct
0.189 0.377 0.270 Ge
0.377 0.189 0.730 Ge
0.811 0.189 0.730 Ge
0.623 0.811 0.270 Ge
0.811 0.623 0.730 Ge
0.189 0.811 0.270 Ge
0.000 0.000 0.500 Ag
0.000 0.000 0.000 Pm
0.333 0.667 0.610 Pm
0.667 0.333 0.390 Pm
0.333 0.667 0.011 Pd
0.667 0.333 0.989 Pd
```

total magnetic moment: 0.00 μB per cell
DFT total energy: -4.999 eV/atom
formation enthalpy at 0 K: -38.5 kJ per mole of atoms
N(E_F): 0.343 states/eV per atom

No. 5
Material: Pm2AgGe4Pd3
Method: DFT, PBE
State: optimized geometry

POSCAR file:
```
Pm2AgGe4Pd3
1.0
4.334 0.000 0.000
0.000 4.334 0.000
0.000 0.000 10.388
Pm Pd Ge Ag
2 3 4 1
Direct
0.000 0.500 0.752 Pm
0.500 0.000 0.248 Pm
0.000 0.000 0.500 Pd
0.000 0.500 0.125 Pd
0.500 0.000 0.875 Pd
0.500 0.000 0.640 Ge
0.000 0.500 0.360 Ge
0.500 0.500 0.000 Ge
0.000 0.000 0.000 Ge
0.500 0.500 0.500 Ag
```

total magnetic moment: 0.00 μB per cell
DFT total energy: -5.346 eV/atom
formation enthalpy at 0 K: -68.1 kJ per mole of atoms
N(E_F): 0.489 states/eV per atom

No. 6
Material: Pr3AgGe6Pd2
Method: DFT, PBE
State: optimized geometry

POSCAR file:
```
Pr3AgGe6Pd2
1.0
6.060 0.000 0.000
-3.030 5.248 0.000
0.000 0.000 8.388
Ge Pr Ag Pd
6 3 1 2
Direct
0.619 0.810 0.274 Ge
0.190 0.381 0.274 Ge
0.810 0.619 0.726 Ge
0.381 0.190 0.726 Ge
0.190 0.810 0.274 Ge
0.810 0.190 0.726 Ge
0.667 0.333 0.383 Pr
0.000 0.000 0.000 Pr
0.333 0.667 0.617 Pr
0.000 0.000 0.500 Ag
0.667 0.333 0.983 Pd
0.333 0.667 0.017 Pd
```

total magnetic moment: 0.00 μB per cell
DFT total energy: -5.003 eV/atom
formation enthalpy at 0 K: -38.2 kJ per mole of atoms
N(E_F): 0.350 states/eV per atom

No. 7
Material: Pr2AgGe3Pd4
Method: DFT, PBE
State: optimized geometry

POSCAR file:
```
Pr2AgGe3Pd4
1.0
4.363 0.000 0.000
0.000 4.363 0.000
0.000 0.000 10.455
Pr Ag Ge Pd
2 1 3 4
Direct
0.500 0.000 0.252 Pr
0.000 0.500 0.748 Pr
0.500 0.500 0.500 Ag
0.500 0.000 0.876 Ge
0.000 0.500 0.124 Ge
0.000 0.000 0.500 Ge
0.000 0.500 0.357 Pd
0.500 0.500 0.000 Pd
0.500 0.000 0.643 Pd
0.000 0.000 0.000 Pd
```

total magnetic moment: 0.00 μB per cell
DFT total energy: -5.415 eV/atom
formation enthalpy at 0 K: -68.7 kJ per mole of atoms
N(E_F): 0.621 states/eV per atom

No. 8
Material: Pu2AgGe3Pd4
Method: DFT, PBE
State: optimized geometry

POSCAR file:
```
Pu2AgGe3Pd4
1.0
4.098 0.000 0.000
0.000 4.098 0.000
0.000 0.000 11.458
Pd Pu Ag Ge
4 2 1 3
Direct
0.000 0.500 0.344 Pd
0.500 0.000 0.656 Pd
0.500 0.500 0.000 Pd
0.000 0.000 0.000 Pd
0.500 0.000 0.248 Pu
0.000 0.500 0.752 Pu
0.500 0.500 0.500 Ag
0.000 0.500 0.130 Ge
0.000 0.000 0.500 Ge
0.500 0.000 0.870 Ge
```

total magnetic moment: 10.94 μB per cell
DFT total energy: -7.104 eV/atom
formation enthalpy at 0 K: -47.3 kJ per mole of atoms
N(E_F): 2.662 states/eV per atom

No. 9
Material: PuAgGePd
Method: DFT, PBE
State: optimized geometry

POSCAR file:
```
PuAgGePd
1.0
4.809 0.000 0.000
2.404 4.164 0.000
2.404 1.388 3.926
Pu Ag Ge Pd
1 1 1 1
Direct
0.000 0.000 0.000 Pu
0.750 0.750 0.750 Ag
0.250 0.250 0.250 Ge
0.500 0.500 0.500 Pd
```

total magnetic moment: 5.26 μB per cell
DFT total energy: -6.929 eV/atom
formation enthalpy at 0 K: -17.4 kJ per mole of atoms
N(E_F): 3.758 states/eV per atom

No. 10
Material: Ag2GePdS4
Method: DFT, PBE
State: optimized geometry

POSCAR file:
```
Ag2GePdS4
1.0
-2.990 4.736 0.132
-1.224 -0.921 5.386
6.706 0.952 -1.225
S Ag Pd Ge
4 2 1 1
Direct
0.638 0.615 0.714 S
0.857 0.396 0.230 S
0.373 0.834 0.230 S
0.076 0.099 0.713 S
0.486 0.986 0.972 Ag
0.236 0.236 0.472 Ag
0.986 0.486 0.972 Pd
0.736 0.736 0.472 Ge
```

total magnetic moment: 0.00 μB per cell
raw formation energy: -3.19 kcal/mol of atoms
DFT total energy: -4.141 eV/atom
N(E_F): 0.783 states/eV per atom

No. 11
Material: AgGe2SbPd
Method: DFT, PBE
State: optimized geometry

POSCAR file:
```
AgGe2SbPd
1.0
-4.270 2.236 2.216
-2.644 -0.853 -4.234
-1.496 -4.728 1.887
Ge Sb Ag Pd
2 1 1 1
Direct
0.000 0.000 0.500 Ge
0.500 0.000 0.000 Ge
0.000 0.000 0.000 Sb
0.000 0.500 0.000 Ag
0.500 0.500 0.500 Pd
```

total magnetic moment: 0.00 μB per cell
raw formation energy: 23.46 kcal/mol of atoms
DFT total energy: -3.263 eV/atom
N(E_F): 0.461 states/eV per atom

No. 12
Material: ScAgGePd
Method: DFT, PBE
State: optimized geometry

POSCAR file:
```
ScAgGePd
1.0
-0.011 0.625 4.563
-2.604 -2.686 2.686
1.981 -3.113 2.755
Ag Ge Pd Sc
1 1 1 1
Direct
0.750 0.750 0.750 Ag
0.250 0.250 0.250 Ge
0.000 0.000 0.000 Pd
0.500 0.500 0.500 Sc
```

total magnetic moment: 0.00 μB per cell
DFT total energy: -5.240 eV/atom
formation enthalpy at 0 K: -47.5 kJ per mole of atoms
N(E_F): 0.302 states/eV per atom

No. 13
Material: Sm2AgGe3Pd4
Method: DFT, PBE
State: optimized geometry

POSCAR file:
```
Sm2AgGe3Pd4
1.0
4.281 0.000 0.000
0.000 4.281 0.000
0.000 0.000 10.617
Sm Pd Ge Ag
2 4 3 1
Direct
0.000 0.500 0.751 Sm
0.500 0.000 0.249 Sm
0.000 0.000 0.000 Pd
0.500 0.500 0.000 Pd
0.000 0.500 0.354 Pd
0.500 0.000 0.646 Pd
0.000 0.000 0.500 Ge
0.000 0.500 0.126 Ge
0.500 0.000 0.874 Ge
0.500 0.500 0.500 Ag
```

total magnetic moment: 0.00 μB per cell
DFT total energy: -5.389 eV/atom
formation enthalpy at 0 K: -67.4 kJ per mole of atoms
N(E_F): 0.588 states/eV per atom

No. 14
Material: Sr2AgGe2Pd5
Method: DFT, PBE
State: optimized geometry

POSCAR file:
```
Sr2AgGe2Pd5
1.0
-1.223 -2.780 1.890
6.504 2.454 7.820
-7.374 6.110 4.216
Ge Sr Pd Ag
4 4 10 2
Direct
0.000 0.377 0.123 Ge
0.000 0.123 0.623 Ge
0.000 0.623 0.877 Ge
0.000 0.877 0.377 Ge
0.000 0.677 0.177 Sr
0.000 0.823 0.677 Sr
0.000 0.323 0.823 Sr
0.000 0.177 0.323 Sr
0.500 0.791 0.939 Pd
0.500 0.561 0.709 Pd
0.500 0.500 0.000 Pd
0.500 0.061 0.791 Pd
0.500 0.000 0.500 Pd
0.500 0.439 0.291 Pd
0.500 0.939 0.209 Pd
0.500 0.709 0.439 Pd
0.500 0.209 0.061 Pd
0.500 0.291 0.561 Pd
0.000 0.500 0.500 Ag
0.000 0.000 0.000 Ag
```

total magnetic moment: 0.00 μB per cell
DFT total energy: -4.645 eV/atom
formation enthalpy at 0 K: -48.6 kJ per mole of atoms
N(E_F): 0.413 states/eV per atom

No. 15
Material: Sr2AgGe3Pd4
Method: DFT, PBE
State: optimized geometry

POSCAR file:
```
Sr2AgGe3Pd4
1.0
4.474 0.000 0.000
0.000 4.474 0.000
0.000 0.000 10.339
Ag Pd Ge Sr
1 4 3 2
Direct
0.500 0.500 0.500 Ag
0.000 0.500 0.356 Pd
0.500 0.000 0.644 Pd
0.000 0.000 0.000 Pd
0.500 0.500 0.000 Pd
0.500 0.000 0.883 Ge
0.000 0.500 0.117 Ge
0.000 0.000 0.500 Ge
0.500 0.000 0.252 Sr
0.000 0.500 0.748 Sr
```

total magnetic moment: 0.00 μB per cell
DFT total energy: -4.705 eV/atom
formation enthalpy at 0 K: -59.9 kJ per mole of atoms
N(E_F): 0.363 states/eV per atom

No. 16
Material: Sr2AgGe4Pd3
Method: DFT, PBE
State: optimized geometry

POSCAR file:
```
Sr2AgGe4Pd3
1.0
-2.975 -3.074 1.199
2.621 -1.221 3.373
-4.724 6.992 6.203
Pd Ge Sr Ag
3 4 2 1
Direct
0.000 0.500 0.125 Pd
0.500 0.000 0.875 Pd
0.000 0.000 0.500 Pd
0.500 0.500 0.000 Ge
0.000 0.500 0.368 Ge
0.000 0.000 0.000 Ge
0.500 0.000 0.632 Ge
0.500 0.000 0.246 Sr
0.000 0.500 0.754 Sr
0.500 0.500 0.500 Ag
```

total magnetic moment: 0.00 μB per cell
DFT total energy: -4.615 eV/atom
formation enthalpy at 0 K: -56.8 kJ per mole of atoms
N(E_F): 0.420 states/eV per atom

No. 17
Material: SrAgGe2Pd
Method: DFT, PBE
State: optimized geometry

POSCAR file:
```
SrAgGe2Pd
1.0
4.503 0.000 0.000
0.000 4.503 0.000
-2.251 -2.251 5.202
Sr Ag Ge Pd
1 1 2 1
Direct
0.000 0.000 0.000 Sr
0.250 0.750 0.500 Ag
0.378 0.378 0.755 Ge
0.622 0.622 0.245 Ge
0.750 0.250 0.500 Pd
```

total magnetic moment: 0.00 μB per cell
DFT total energy: -4.293 eV/atom
formation enthalpy at 0 K: -48.3 kJ per mole of atoms
N(E_F): 0.439 states/eV per atom

No. 18
Material: Ta2AgGePd
Method: DFT, PBE
State: optimized geometry

POSCAR file:
```
Ta2AgGePd
1.0
-0.965 -4.078 -2.689
3.483 -2.091 1.921
-2.995 -1.671 3.610
Pd Ge Ag Ta
1 1 1 2
Direct
0.500 0.500 0.500 Pd
0.000 0.500 0.000 Ge
0.000 0.000 0.000 Ag
0.000 0.000 0.500 Ta
0.500 0.000 0.000 Ta
```

total magnetic moment: 0.00 μB per cell
DFT total energy: -5.521 eV/atom
formation enthalpy at 0 K: 169.0 kJ per mole of atoms
N(E_F): 1.123 states/eV per atom

No. 19
Material: TaAgGePd2
Method: DFT, PBE
State: optimized geometry

POSCAR file:
```
TaAgGePd2
1.0
4.854 0.000 0.000
0.000 4.861 0.000
0.000 0.000 4.854
Pd Ag Ta Ge
2 1 1 1
Direct
0.000 0.000 0.500 Pd
0.500 0.000 0.000 Pd
0.000 0.000 0.000 Ag
0.000 0.500 0.000 Ta
0.500 0.500 0.500 Ge
```

total magnetic moment: 0.00 μB per cell
DFT total energy: -4.520 eV/atom
formation enthalpy at 0 K: 137.1 kJ per mole of atoms
N(E_F): 1.006 states/eV per atom

No. 20
Material: TbAgGePd
Method: DFT, PBE
State: optimized geometry

POSCAR file:
```
TbAgGePd
1.0
-4.411 -0.920 1.626
-0.691 -3.490 3.208
-1.165 1.094 4.516
Pd Tb Ge Ag
1 1 1 1
Direct
0.750 0.750 0.750 Pd
0.000 0.000 0.000 Tb
0.250 0.250 0.250 Ge
0.500 0.500 0.500 Ag
```

total magnetic moment: 0.00 μB per cell
DFT total energy: -4.808 eV/atom
formation enthalpy at 0 K: -46.8 kJ per mole of atoms
N(E_F): 0.160 states/eV per atom

No. 21
Material: Th2AgGe4Pd3
Method: DFT, PBE
State: optimized geometry

POSCAR file:
```
Th2AgGe4Pd3
1.0
4.359 0.000 0.000
0.000 4.359 0.000
0.000 0.000 10.322
Pd Ge Th Ag
3 4 2 1
Direct
0.500 0.000 0.877 Pd
0.000 0.000 0.500 Pd
0.000 0.500 0.123 Pd
0.500 0.500 0.000 Ge
0.500 0.000 0.639 Ge
0.000 0.000 0.000 Ge
0.000 0.500 0.361 Ge
0.000 0.500 0.754 Th
0.500 0.000 0.246 Th
0.500 0.500 0.500 Ag
```

total magnetic moment: 0.00 μB per cell
DFT total energy: -5.862 eV/atom
formation enthalpy at 0 K: -66.4 kJ per mole of atoms
N(E_F): 0.455 states/eV per atom

No. 22
Material: Th2AgGe3Pd4
Method: DFT, PBE
State: optimized geometry

POSCAR file:
```
Th2AgGe3Pd4
1.0
-3.462 0.632 -2.504
2.495 -0.262 -3.516
-1.621 -10.380 -0.376
Ag Ge Pd Th
1 3 4 2
Direct
0.500 0.500 0.500 Ag
0.000 0.500 0.128 Ge
0.500 0.000 0.872 Ge
0.000 0.000 0.500 Ge
0.500 0.500 0.000 Pd
0.000 0.000 0.000 Pd
0.000 0.500 0.358 Pd
0.500 0.000 0.642 Pd
0.500 0.000 0.244 Th
0.000 0.500 0.756 Th
```

total magnetic moment: 0.00 μB per cell
DFT total energy: -5.916 eV/atom
formation enthalpy at 0 K: -66.1 kJ per mole of atoms
N(E_F): 0.543 states/eV per atom

No. 23
Material: Y2AgGe4Pd3
Method: DFT, PBE
State: optimized geometry

POSCAR file:
```
Y2AgGe4Pd3
1.0
4.254 0.000 0.000
0.000 4.254 0.000
0.000 0.000 10.538
Ag Ge Pd Y
1 4 3 2
Direct
0.500 0.500 0.500 Ag
0.500 0.500 0.000 Ge
0.000 0.000 0.000 Ge
0.000 0.500 0.359 Ge
0.500 0.000 0.641 Ge
0.000 0.000 0.500 Pd
0.500 0.000 0.871 Pd
0.000 0.500 0.129 Pd
0.500 0.000 0.251 Y
0.000 0.500 0.749 Y
```

total magnetic moment: 0.00 μB per cell
DFT total energy: -5.647 eV/atom
formation enthalpy at 0 K: -64.1 kJ per mole of atoms
N(E_F): 0.422 states/eV per atom

No. 24
Material: ZnAgGePd
Method: DFT, PBE
State: optimized geometry

POSCAR file:
```
ZnAgGePd
1.0
4.492 0.000 0.000
2.246 3.890 0.000
2.246 1.297 3.668
Zn Ag Ge Pd
1 1 1 1
Direct
0.750 0.750 0.750 Zn
0.000 0.000 0.000 Ag
0.250 0.250 0.250 Ge
0.500 0.500 0.500 Pd
```

total magnetic moment: 0.00 μB per cell
DFT total energy: -3.616 eV/atom
formation enthalpy at 0 K: -12.8 kJ per mole of atoms
N(E_F): 0.437 states/eV per atom